(1)
Density functional theory data (GGA-PBE) for a relaxed Pr4ZnIn3 crystal.

Unit cell a=3.7639 b=3.7639 c=16.2270 alpha=90.00 beta=90.00 gamma=90.00
Space group P4/mmm (No. 123)
Asymmetric unit:
1 Pr 0.0000 0.0000 0.1108
2 Pr 0.0000 0.0000 0.3699
3 Zn 0.5000 0.5000 0.0000
4 In 0.5000 0.5000 0.2390
5 In 0.5000 0.5000 0.5000

Properties
total magnetic moment	0.00	μB/cell
DFT total energy	-4.022	eV/atom
crystal system	tetragonal

(2)
Density functional theory data (GGA-PBE) for a relaxed ZnCdPb2 crystal.

Unit cell a=5.0177 b=5.0177 c=8.2577 alpha=90.00 beta=90.00 gamma=90.00
Space group I4/mmm (No. 139)
Asymmetric unit:
1 Zn 0.0000 0.0000 0.0000
2 Cd 0.0000 0.0000 0.5000
3 Pb 0.0000 0.5000 0.2500

Properties
total magnetic moment	0.00	μB/cell
distance to the lowest polymorph of the same formula	0.049	eV/atom
crystal system	tetragonal

Q: Number 1 is which compound?
A: Pr4ZnIn3

Q: What is the formula in the first record?
A: Pr4ZnIn3